# ReNiTeI2 | Alexandria | SCAN | single point on PBEsol structure
# Uncorrected formation energy, eV per atom: 1.36
# Magnetization, Bohr magnetons per cell: 4.8
data_ReNiTeI2
_chemical_formula_sum 'Re1 Ni1 Te1 I2'
_cell_length_a 5.015
_cell_length_b 5.015
_cell_length_c 5.168
_cell_angle_alpha 90.00
_cell_angle_beta 90.00
_cell_angle_gamma 90.00
_symmetry_space_group_name_H-M 'P 4/m m m'
_symmetry_Int_Tables_number 123
_symmetry_space_group_name_Hall '-P 4 2'
loop_
_atom_site_label
_atom_site_fract_x
_atom_site_fract_y
_atom_site_fract_z
_atom_site_occupancy
Re1 0.000 0.000 0.000 1
Ni1 0.500 0.500 0.500 1
Te1 0.500 0.500 0.000 1
I1 0.000 0.500 0.500 1